Below is a relaxed PmTm5Rh4 crystal, with properties calculated at the PBE level.

```
data_PmTm5Rh4
_chemical_formula_sum 'Pm2 Tm10 Rh8'
_space_group_name_H-M_alt 'C 1 2/m 1'
_space_group_IT_number 12
_space_group_name_Hall '-C 2y'
_cell_length_a 16.314
_cell_length_b 4.487
_cell_length_c 6.949
_cell_angle_alpha 90.00
_cell_angle_beta 106.96
_cell_angle_gamma 90.00
loop_
_atom_site_label
_atom_site_type_symbol
_atom_site_fract_x
_atom_site_fract_y
_atom_site_fract_z
_atom_site_occupancy
Pm1 Pm 0.000 0.000 0.000 1
Tm1 Tm 0.000 0.000 0.500 1
Tm2 Tm 0.140 0.500 0.757 1
Tm3 Tm 0.196 0.500 0.264 1
Rh1 Rh 0.039 0.500 0.316 1
Rh2 Rh 0.186 0.000 0.000 1
```

Output
- N(E_F): 10.66 states/eV per cell
- VASP energy: -0.4629 Ry per atom
- Energy relative to the elements: -0.647 eV per atom